1.
Compound: RbNiSn
Source: OQMD
Functional: GGA-PBE
Structure: relaxed

Results
spin magnetization	0.0	Bohr magnetons per cell
space group	F-43m (216)
ΔE to the lowest computed polymorph	0.00	kJ/mol of atoms

Geometry as POSCAR:
```
RbNiSn
1.0
-1.2423 -4.6235 -1.0801
0.5269 -3.5327 3.3659
-3.9610 -2.0249 2.0730
Sn Ni Rb
1 1 1
direct
0.7500 0.7500 0.7500
0.0000 0.0000 0.0000
0.2500 0.2500 0.2500
```

***

2.
Compound: RbTbNiTe3
Source: OQMD
Functional: GGA-PBE
Structure: relaxed

Results
spin magnetization	0.0	Bohr magnetons per cell
space group	Pnma (62)
ΔE to the lowest computed polymorph	6.68	kJ/mol of atoms

Geometry as POSCAR:
```
RbTbNiTe3
1.0
-4.1276 8.8074 7.0636
-0.2442 -2.9177 3.4952
12.7900 3.1611 3.5324
Te Tb Rb Ni
12 4 4 4
direct
0.8844 0.5000 0.5500
0.7767 0.0000 0.7882
0.2233 0.5000 0.2118
0.0566 0.5000 0.8114
0.2767 0.0000 0.7118
0.6156 0.0000 0.0500
0.4434 0.0000 0.3114
0.7233 0.5000 0.2882
0.1156 0.0000 0.4500
0.5566 0.5000 0.6886
0.3844 0.5000 0.9500
0.9434 0.0000 0.1886
0.4975 0.5000 0.1648
0.0025 0.0000 0.6648
0.9975 0.5000 0.3352
0.5025 0.0000 0.8352
0.1636 0.0000 0.9994
0.3364 0.5000 0.4994
0.8364 0.5000 0.0006
0.6636 0.0000 0.5006
0.7696 0.5000 0.7086
0.7304 0.0000 0.2086
0.2304 0.0000 0.2914
0.2696 0.5000 0.7914
```

***

3.
Compound: RbTbNiTe3
Source: OQMD
Functional: GGA-PBE
Structure: relaxed

Results
spin magnetization	0.5	Bohr magnetons per cell
space group	C2/m (12)
ΔE to the lowest computed polymorph	15.95	kJ/mol of atoms

Geometry as POSCAR:
```
RbTbNiTe3
1.0
-7.3641 -0.2788 5.0847
-5.3150 -4.2729 5.8013
5.5719 4.1041 6.9429
Te Tb Ni Rb
6 2 2 2
direct
0.3417 0.3417 0.1339
0.6256 0.6256 0.2900
0.0000 0.0000 0.0000
0.6583 0.6583 0.8661
0.5000 0.5000 0.5000
0.3744 0.3744 0.7101
0.8346 0.8346 0.9099
0.1654 0.1654 0.0901
0.5038 0.5038 0.8614
0.4962 0.4962 0.1386
0.1507 0.1507 0.5858
0.8493 0.8493 0.4142
```

***

4.
Compound: RbTbNiTe3
Source: OQMD
Functional: GGA-PBE
Structure: relaxed

Results
spin magnetization	0.0	Bohr magnetons per cell
space group	Pnma (62)
ΔE to the lowest computed polymorph	0.00	kJ/mol of atoms

Geometry as POSCAR:
```
RbTbNiTe3
1.0
-3.3684 2.9017 16.1648
-4.1959 -0.6661 -0.7548
1.3514 -11.0863 2.2717
Te Rb Ni Tb
12 4 4 4
direct
0.6013 0.7500 0.9165
0.6336 0.2500 0.2547
0.4344 0.7500 0.4039
0.8664 0.7500 0.7547
0.1013 0.7500 0.5835
0.0656 0.2500 0.9039
0.1336 0.2500 0.2453
0.3987 0.2500 0.0835
0.5656 0.2500 0.5961
0.9344 0.7500 0.0961
0.3664 0.7500 0.7453
0.8987 0.2500 0.4165
0.7307 0.7500 0.4787
0.2307 0.7500 0.0213
0.2693 0.2500 0.5213
0.7693 0.2500 0.9787
0.4878 0.7500 0.6118
0.5122 0.2500 0.3882
0.9878 0.7500 0.8882
0.0122 0.2500 0.1118
0.0211 0.7500 0.3431
0.5211 0.7500 0.1569
0.4789 0.2500 0.8431
0.9789 0.2500 0.6569
```